No. 1
The following is a DFT calculation (GGA-PBE) of a relaxed structure of V2CrIr5.

Calculated values
M_tot (μB per formula unit): 1.2
Energy of formation from the pure elements (meV per atom): -411.2

CIF file:
```
data_V2CrIr5
_cell_length_a 5.393
_cell_length_b 10.769
_cell_length_c 3.829
_cell_angle_alpha 90.00
_cell_angle_beta 90.00
_cell_angle_gamma 90.00
_symmetry_space_group_name_H-M 'P b a m'
_symmetry_Int_Tables_number 55
_symmetry_space_group_name_Hall '-P 2 2ab'
loop_
_atom_site_label
_atom_site_type_symbol
_atom_site_fract_x
_atom_site_fract_y
_atom_site_fract_z
_atom_site_occupancy
V1 V 0.244 0.125 0.000 1
Cr1 Cr 0.000 0.500 0.500 1
Ir1 Ir 0.000 0.000 0.500 1
Ir2 Ir 0.011 0.748 0.500 1
Ir3 Ir 0.237 0.379 0.000 1
```

***

No. 2
The following is a DFT calculation (GGA-PBE) of a relaxed structure of V4CrIr2.

Calculated values
M_tot (μB per formula unit): 0.5
Energy of formation from the pure elements (meV per atom): 593.3

CIF file:
```
data_V4CrIr2
_cell_length_a 4.172
_cell_length_b 4.172
_cell_length_c 12.619
_cell_angle_alpha 90.00
_cell_angle_beta 90.00
_cell_angle_gamma 90.00
_symmetry_space_group_name_H-M 'I 4/m m m'
_symmetry_Int_Tables_number 139
_symmetry_space_group_name_Hall '-I 4 2'
loop_
_atom_site_label
_atom_site_type_symbol
_atom_site_fract_x
_atom_site_fract_y
_atom_site_fract_z
_atom_site_occupancy
V1 V 0.000 0.000 0.186 1
V2 V 0.000 0.500 0.000 1
Cr1 Cr 0.000 0.000 0.000 1
Ir1 Ir 0.000 0.000 0.372 1
```

***

No. 3
The following is a DFT calculation (GGA-PBE) of a relaxed structure of VCrIr3.

Calculated values
M_tot (μB per formula unit): 0.0
Energy above the most stable polymorph in this dataset (eV/atom): 0.000
Energy of formation from the pure elements (meV per atom): -315.7

CIF file:
```
data_VCrIr3
_cell_length_a 4.627
_cell_length_b 5.357
_cell_length_c 6.065
_cell_angle_alpha 102.03
_cell_angle_beta 98.31
_cell_angle_gamma 106.03
_symmetry_space_group_name_H-M 'P -1'
_symmetry_Int_Tables_number 2
_symmetry_space_group_name_Hall '-P 1'
loop_
_atom_site_label
_atom_site_type_symbol
_atom_site_fract_x
_atom_site_fract_y
_atom_site_fract_z
_atom_site_occupancy
V1 V 0.111 0.450 0.207 1
Cr1 Cr 0.323 0.876 0.610 1
Ir1 Ir 0.103 0.946 0.209 1
Ir2 Ir 0.285 0.351 0.591 1
Ir3 Ir 0.485 0.748 0.995 1
```

***

No. 4
The following is a DFT calculation (GGA-PBE) of a relaxed structure of V5Cr4Ir.

Calculated values
M_tot (μB per formula unit): 0.0
Energy of formation from the pure elements (meV per atom): -192.8

CIF file:
```
data_V5Cr4Ir
_cell_length_a 2.929
_cell_length_b 2.929
_cell_length_c 14.790
_cell_angle_alpha 90.00
_cell_angle_beta 90.00
_cell_angle_gamma 90.00
_symmetry_space_group_name_H-M 'P 4/m m m'
_symmetry_Int_Tables_number 123
_symmetry_space_group_name_Hall '-P 4 2'
loop_
_atom_site_label
_atom_site_type_symbol
_atom_site_fract_x
_atom_site_fract_y
_atom_site_fract_z
_atom_site_occupancy
V1 V 0.000 0.000 0.000 1
V2 V 0.000 0.000 0.197 1
V3 V 0.000 0.000 0.388 1
Cr1 Cr 0.500 0.500 0.098 1
Cr2 Cr 0.500 0.500 0.296 1
Ir1 Ir 0.500 0.500 0.500 1
```

***

No. 5
The following is a DFT calculation (GGA-PBE) of a relaxed structure of VCrIr3.

Calculated values
M_tot (μB per formula unit): 4.3
Energy above the most stable polymorph in this dataset (eV/atom): 1.471
Energy of formation from the pure elements (meV per atom): 1155.1

CIF file:
```
data_VCrIr3
_cell_length_a 4.511
_cell_length_b 4.511
_cell_length_c 4.511
_cell_angle_alpha 90.00
_cell_angle_beta 90.00
_cell_angle_gamma 90.00
_symmetry_space_group_name_H-M 'P m -3 m'
_symmetry_Int_Tables_number 221
_symmetry_space_group_name_Hall '-P 4 2 3'
loop_
_atom_site_label
_atom_site_type_symbol
_atom_site_fract_x
_atom_site_fract_y
_atom_site_fract_z
_atom_site_occupancy
V1 V 0.000 0.000 0.000 1
Cr1 Cr 0.500 0.500 0.500 1
Ir1 Ir 0.000 0.000 0.500 1
```

***

No. 6
The following is a DFT calculation (GGA-PBE) of a relaxed structure of VCrIr3.

Calculated values
M_tot (μB per formula unit): 2.5
Energy above the most stable polymorph in this dataset (eV/atom): 1.524
Energy of formation from the pure elements (meV per atom): 1208.6

CIF file:
```
data_VCrIr3
_cell_length_a 4.464
_cell_length_b 4.464
_cell_length_c 4.464
_cell_angle_alpha 90.00
_cell_angle_beta 90.00
_cell_angle_gamma 90.00
_symmetry_space_group_name_H-M 'P m -3 m'
_symmetry_Int_Tables_number 221
_symmetry_space_group_name_Hall '-P 4 2 3'
loop_
_atom_site_label
_atom_site_type_symbol
_atom_site_fract_x
_atom_site_fract_y
_atom_site_fract_z
_atom_site_occupancy
V1 V 0.000 0.000 0.000 1
Cr1 Cr 0.500 0.500 0.500 1
Ir1 Ir 0.000 0.500 0.500 1
```

***

> What is the formula in the first record?

V2CrIr5